Entry from Alexandria: an optimized crystal structure of MgGaSb3 (GGA-PBE).

The space group is Pm-3m (No. 221) and the conventional cell measures 5.421, 5.421 and 5.421 Å, with angles of 90.00, 90.00 and 90.00 degrees. The inequivalent atoms are Mg at (0.000, 0.000, 0.000), Ga at (0.500, 0.500, 0.500) and Sb at (0.000, 0.000, 0.500).

The formation energy from raw total energies comes out at 0.53 eV per atom. The total energy is -14.34 eV/cell.